[1]
{
  "formula": "Hf2AgPt9",
  "functional": "GGA-PBE",
  "state": "optimized geometry",
  "cell": [[4.025, 0.000, 0.000], [0.000, 4.025, 0.000], [0.000, 0.000, 12.055]],
  "species": ["Hf", "Hf", "Ag", "Pt", "Pt", "Pt", "Pt", "Pt", "Pt", "Pt", "Pt", "Pt"],
  "fractional_positions": [[0.000, 0.000, 0.328], [0.000, 0.000, 0.672], [0.000, 0.000, 0.000], [0.500, 0.500, 0.000], [0.500, 0.500, 0.335], [0.500, 0.500, 0.665], [0.500, 0.000, 0.170], [0.500, 0.000, 0.500], [0.500, 0.000, 0.830], [0.000, 0.500, 0.170], [0.000, 0.500, 0.500], [0.000, 0.500, 0.830]]
}


[2]
{
  "formula": "Hf2AgPt",
  "functional": "GGA-PBE",
  "state": "optimized geometry",
  "cell": [[7.593, 0.000, 0.000], [0.000, 7.593, 0.000], [3.796, 3.796, 2.873]],
  "species": ["Hf", "Hf", "Hf", "Hf", "Ag", "Ag", "Pt", "Pt"],
  "fractional_positions": [[0.655, 0.125, 0.250], [0.095, 0.625, 0.250], [0.375, 0.345, 0.750], [0.875, 0.905, 0.750], [0.500, 0.500, 0.000], [0.250, 0.750, 0.500], [0.000, 0.000, 0.000], [0.750, 0.250, 0.500]]
}


[3]
{
  "formula": "Hf2AgPt2",
  "functional": "GGA-PBE",
  "state": "optimized geometry",
  "cell": [[7.846, 0.000, 0.000], [0.000, 7.846, 0.000], [0.000, 0.000, 3.144]],
  "species": ["Hf", "Hf", "Hf", "Hf", "Ag", "Ag", "Pt", "Pt", "Pt", "Pt"],
  "fractional_positions": [[0.343, 0.843, 0.000], [0.843, 0.657, 0.000], [0.657, 0.157, 0.000], [0.157, 0.343, 0.000], [0.000, 0.000, 0.000], [0.500, 0.500, 0.000], [0.136, 0.636, 0.500], [0.636, 0.864, 0.500], [0.864, 0.364, 0.500], [0.364, 0.136, 0.500]],
  "relative_energy_ev_per_atom": 0.2117
}


[4]
{
  "formula": "HfAgPtRh",
  "functional": "GGA-PBE",
  "state": "optimized geometry",
  "cell": [[-1.212, -0.442, -4.380], [0.962, -3.850, -2.258], [-3.359, -2.866, -1.161]],
  "species": ["Rh", "Hf", "Ag", "Pt"],
  "fractional_positions": [[0.500, 0.500, 0.500], [0.250, 0.250, 0.250], [0.750, 0.750, 0.750], [0.000, 0.000, 0.000]]
}


[5]
{
  "formula": "HfScAgPt",
  "functional": "GGA-PBE",
  "state": "optimized geometry",
  "cell": [[-0.086, -0.356, -4.734], [-4.118, -0.716, -2.253], [-1.915, 3.475, -2.608]],
  "species": ["Sc", "Hf", "Ag", "Pt"],
  "fractional_positions": [[0.500, 0.500, 0.500], [0.000, 0.000, 0.000], [0.250, 0.250, 0.250], [0.750, 0.750, 0.750]]
}


[6]
{
  "formula": "HfAgSnPt",
  "functional": "GGA-PBE",
  "state": "optimized geometry",
  "cell": [[4.755, 0.000, 0.000], [2.377, 4.118, 0.000], [2.377, 1.373, 3.882]],
  "species": ["Ag", "Hf", "Sn", "Pt"],
  "fractional_positions": [[0.250, 0.250, 0.250], [0.000, 0.000, 0.000], [0.500, 0.500, 0.500], [0.750, 0.750, 0.750]]
}


[7]
{
  "formula": "HfTaAg2Pt",
  "functional": "GGA-PBE",
  "state": "optimized geometry",
  "cell": [[-2.294, -3.095, -3.135], [4.182, -0.849, -2.223], [0.877, -3.785, 3.095]],
  "species": ["Hf", "Ag", "Ag", "Pt", "Ta"],
  "fractional_positions": [[0.500, 0.500, 0.500], [0.000, 0.000, 0.500], [0.500, 0.000, 0.000], [0.000, 0.000, 0.000], [0.000, 0.500, 0.000]]
}


[8]
{
  "formula": "HfTaAgPt2",
  "functional": "GGA-PBE",
  "state": "optimized geometry",
  "cell": [[4.823, 0.000, 0.000], [0.000, 4.823, 0.000], [0.000, 0.000, 4.936]],
  "species": ["Hf", "Ag", "Pt", "Pt", "Ta"],
  "fractional_positions": [[0.000, 0.000, 0.000], [0.000, 0.000, 0.500], [0.000, 0.500, 0.000], [0.500, 0.000, 0.000], [0.500, 0.500, 0.500]]
}


[9]
{
  "formula": "HfAgTe2Pt",
  "functional": "GGA-PBE",
  "state": "optimized geometry",
  "cell": [[-4.805, -2.296, 0.739], [1.231, -3.621, -3.246], [2.019, -2.928, 4.032]],
  "species": ["Te", "Te", "Hf", "Ag", "Pt"],
  "fractional_positions": [[0.000, 0.000, 0.500], [0.500, 0.000, 0.000], [0.000, 0.500, 0.000], [0.500, 0.500, 0.500], [0.000, 0.000, 0.000]],
  "relative_energy_ev_per_atom": 0.1807,
  "formation_energy_uncorrected_ev_per_fu": 2.41
}


[10]
{
  "formula": "HfAgTe2Pt",
  "functional": "GGA-PBE",
  "state": "optimized geometry",
  "cell": [[-2.093, 2.813, 4.248], [1.754, -3.506, 3.186], [4.722, 2.795, 0.476]],
  "species": ["Te", "Te", "Hf", "Ag", "Pt"],
  "fractional_positions": [[0.000, 0.000, 0.500], [0.500, 0.000, 0.000], [0.000, 0.000, 0.000], [0.500, 0.500, 0.500], [0.000, 0.500, 0.000]],
  "relative_energy_ev_per_atom": 0.0000,
  "formation_energy_uncorrected_ev_per_fu": 1.51
}


[11]
{
  "formula": "HfTiAgPt",
  "functional": "GGA-PBE",
  "state": "optimized geometry",
  "cell": [[-0.372, -1.315, 4.454], [2.116, -3.883, 1.467], [3.691, 0.286, 2.829]],
  "species": ["Hf", "Ag", "Pt", "Ti"],
  "fractional_positions": [[0.000, 0.000, 0.000], [0.750, 0.750, 0.750], [0.250, 0.250, 0.250], [0.500, 0.500, 0.500]]
}


[12]
{
  "formula": "HfTi2AgPt",
  "functional": "GGA-PBE",
  "state": "optimized geometry",
  "cell": [[-1.553, 0.432, 4.527], [-0.945, -4.986, 0.151], [4.459, -0.797, 1.606]],
  "species": ["Hf", "Ag", "Pt", "Ti", "Ti"],
  "fractional_positions": [[0.000, 0.500, 0.000], [0.500, 0.500, 0.500], [0.000, 0.000, 0.000], [0.000, 0.000, 0.500], [0.500, 0.000, 0.000]]
}


[13]
{
  "formula": "TmHfAgPt",
  "functional": "GGA-PBE",
  "state": "optimized geometry",
  "cell": [[4.850, 0.000, 0.000], [2.425, 4.200, 0.000], [2.425, 1.400, 3.960]],
  "species": ["Tm", "Hf", "Ag", "Pt"],
  "fractional_positions": [[0.000, 0.000, 0.000], [0.500, 0.500, 0.500], [0.750, 0.750, 0.750], [0.250, 0.250, 0.250]]
}


[14]
{
  "formula": "HfAgPtW2",
  "functional": "GGA-PBE",
  "state": "optimized geometry",
  "cell": [[4.812, 0.000, 0.000], [0.000, 4.982, 0.000], [0.000, 0.000, 4.812]],
  "species": ["Ag", "Hf", "W", "W", "Pt"],
  "fractional_positions": [[0.500, 0.500, 0.500], [0.000, 0.500, 0.000], [0.000, 0.000, 0.500], [0.500, 0.000, 0.000], [0.000, 0.000, 0.000]]
}


[15]
{
  "formula": "YHfAgPt",
  "functional": "GGA-PBE",
  "state": "optimized geometry",
  "cell": [[-4.507, 1.400, 1.276], [-3.735, -0.685, -3.078], [-3.410, -3.356, 1.003]],
  "species": ["Y", "Hf", "Ag", "Pt"],
  "fractional_positions": [[0.000, 0.000, 0.000], [0.500, 0.500, 0.500], [0.250, 0.250, 0.250], [0.750, 0.750, 0.750]]
}


[16]
{
  "formula": "HfZnAgPt",
  "functional": "GGA-PBE",
  "state": "optimized geometry",
  "cell": [[4.591, 0.000, 0.000], [2.296, 3.976, 0.000], [2.296, 1.325, 3.749]],
  "species": ["Zn", "Hf", "Ag", "Pt"],
  "fractional_positions": [[0.500, 0.500, 0.500], [0.000, 0.000, 0.000], [0.250, 0.250, 0.250], [0.750, 0.750, 0.750]]
}


[17]
{
  "formula": "HfZrAgPt",
  "functional": "GGA-PBE",
  "state": "optimized geometry",
  "cell": [[-4.592, -0.869, -0.993], [-2.117, -3.920, 1.726], [-3.301, 0.382, 3.434]],
  "species": ["Zr", "Hf", "Ag", "Pt"],
  "fractional_positions": [[0.250, 0.250, 0.250], [0.750, 0.750, 0.750], [0.500, 0.500, 0.500], [0.000, 0.000, 0.000]]
}


[18]
{
  "formula": "PuHfAg2",
  "functional": "GGA-PBE",
  "state": "optimized geometry",
  "cell": [[3.096, 0.000, 0.000], [0.000, 3.096, 0.000], [0.000, 0.000, 8.831]],
  "species": ["Hf", "Ag", "Ag", "Pu"],
  "fractional_positions": [[0.500, 0.500, 0.000], [0.000, 0.000, 0.771], [0.000, 0.000, 0.229], [0.500, 0.500, 0.500]]
}


[19]
{
  "formula": "PuHfAg",
  "functional": "GGA-PBE",
  "state": "optimized geometry",
  "cell": [[3.244, 0.000, 0.000], [0.000, 3.244, 0.000], [0.000, 0.000, 10.889]],
  "species": ["Pu", "Pu", "Hf", "Hf", "Ag", "Ag"],
  "fractional_positions": [[0.000, 0.500, 0.547], [0.500, 0.000, 0.453], [0.000, 0.500, 0.253], [0.500, 0.000, 0.747], [0.500, 0.000, 0.080], [0.000, 0.500, 0.920]],
  "relative_energy_ev_per_atom": 0.0089
}


[20]
{
  "formula": "PuHfAg",
  "functional": "GGA-PBE",
  "state": "optimized geometry",
  "cell": [[-0.560, -0.959, -2.939], [2.854, -1.309, -0.117], [-3.705, -4.658, 3.905]],
  "species": ["Hf", "Ag", "Pu"],
  "fractional_positions": [[0.659, 0.659, 0.318], [0.010, 0.010, 0.020], [0.331, 0.331, 0.662]],
  "relative_energy_ev_per_atom": 0.0000
}


[21]
{
  "formula": "PuHf2Ag",
  "functional": "GGA-PBE",
  "state": "optimized geometry",
  "cell": [[3.201, 0.000, 0.000], [0.000, 3.201, 0.000], [0.000, 0.000, 8.405]],
  "species": ["Hf", "Hf", "Ag", "Pu"],
  "fractional_positions": [[0.000, 0.000, 0.737], [0.000, 0.000, 0.263], [0.500, 0.500, 0.500], [0.500, 0.500, 0.000]],
  "relative_energy_ev_per_atom": 0.0000
}


[22]
{
  "formula": "PuHf2Ag",
  "functional": "GGA-PBE",
  "state": "optimized geometry",
  "cell": [[3.224, 0.000, 0.000], [0.000, 5.089, 0.000], [0.000, 0.000, 5.089]],
  "species": ["Hf", "Hf", "Ag", "Pu"],
  "fractional_positions": [[0.000, 0.000, 0.500], [0.000, 0.500, 0.000], [0.500, 0.000, 0.000], [0.500, 0.500, 0.500]],
  "relative_energy_ev_per_atom": 0.0416
}


[23]
{
  "formula": "Rb2HfAg",
  "functional": "GGA-PBE",
  "state": "optimized geometry",
  "cell": [[3.467, -5.093, -0.121], [-0.520, -4.189, 4.490], [-2.594, -5.466, -1.170]],
  "species": ["Hf", "Rb", "Rb", "Ag"],
  "fractional_positions": [[0.500, 0.500, 0.500], [0.250, 0.250, 0.250], [0.750, 0.750, 0.750], [0.000, 0.000, 0.000]],
  "relative_energy_ev_per_atom": 0.2201
}


[24]
{
  "formula": "RbHf2Ag",
  "functional": "GGA-PBE",
  "state": "optimized geometry",
  "cell": [[-4.734, -1.526, 0.935], [-1.656, -0.332, 4.770], [-3.428, 3.299, 1.724]],
  "species": ["Hf", "Hf", "Rb", "Ag"],
  "fractional_positions": [[0.250, 0.250, 0.250], [0.750, 0.750, 0.750], [0.000, 0.000, 0.000], [0.500, 0.500, 0.500]],
  "relative_energy_ev_per_atom": 0.0000
}


[25]
{
  "formula": "RbHf2Ag",
  "functional": "GGA-PBE",
  "state": "optimized geometry",
  "cell": [[-3.138, 2.074, 3.913], [-4.299, -0.272, -3.303], [-5.699, -8.406, 3.650]],
  "species": ["Hf", "Hf", "Hf", "Hf", "Rb", "Rb", "Ag", "Ag"],
  "fractional_positions": [[0.858, 0.125, 0.250], [0.892, 0.625, 0.250], [0.375, 0.142, 0.750], [0.875, 0.108, 0.750], [0.500, 0.500, 0.000], [0.250, 0.750, 0.500], [0.000, 0.000, 0.000], [0.750, 0.250, 0.500]],
  "relative_energy_ev_per_atom": 0.1205
}


[26]
{
  "formula": "Rb2HfAg",
  "functional": "GGA-PBE",
  "state": "optimized geometry",
  "cell": [[-3.441, -0.111, 12.216], [8.048, -9.569, 2.179], [4.237, -3.086, 7.758]],
  "species": ["Hf", "Hf", "Rb", "Rb", "Rb", "Rb", "Ag", "Ag"],
  "fractional_positions": [[0.000, 0.000, 0.000], [0.750, 0.250, 0.500], [0.481, 0.125, 0.250], [0.269, 0.625, 0.250], [0.375, 0.519, 0.750], [0.875, 0.731, 0.750], [0.500, 0.500, 0.000], [0.250, 0.750, 0.500]],
  "relative_energy_ev_per_atom": 0.0000
}


[27]
{
  "formula": "RbHfAg3",
  "functional": "GGA-PBE",
  "state": "optimized geometry",
  "cell": [[-3.389, -0.569, 4.280], [1.228, -5.344, 0.262], [4.140, 1.119, 3.426]],
  "species": ["Hf", "Rb", "Ag", "Ag", "Ag"],
  "fractional_positions": [[0.000, 0.000, 0.000], [0.500, 0.500, 0.500], [0.000, 0.500, 0.000], [0.000, 0.000, 0.500], [0.500, 0.000, 0.000]],
  "relative_energy_ev_per_atom": 0.0000
}


[28]
{
  "formula": "RbHfAg3",
  "functional": "GGA-PBE",
  "state": "optimized geometry",
  "cell": [[5.385, 0.000, 0.000], [0.000, 5.385, 0.000], [0.000, 0.000, 5.385]],
  "species": ["Hf", "Rb", "Ag", "Ag", "Ag"],
  "fractional_positions": [[0.500, 0.500, 0.500], [0.000, 0.000, 0.000], [0.000, 0.500, 0.000], [0.000, 0.000, 0.500], [0.500, 0.000, 0.000]],
  "relative_energy_ev_per_atom": 1.0309
}


Respective calculated total energy values: -86.19, -58.41, -75.94, -28.62, -27.63, -24.45, -28.59, -30.82, -22.72, -23.62, -28.32, -32.78, -25.70, -37.30, -27.51, -22.02, -29.21, -29.68, -53.68, -26.87, -36.81, -36.64, -9.69, -19.02, -37.08, -21.14, -16.09, -10.94 eV per cell.
Respective magnetization values: 0.00, 0.00, 0.00, 0.00, 0.00, 0.00, 0.00, 0.29, 0.00, 0.00, 0.17, 0.37, 0.00, 0.00, 0.00, 0.00, 0.00, 1.51, 0.00, 1.71, 1.22, 1.30, 0.72, 0.00, 0.00, 0.00, 0.00, 0.21 μB/atom.